# 1
BaLa2CoO5 PBE with a Hubbard U relaxed; space-group type = Immm; DFT total energy = -65.99 eV for the cell shown
1.0
-1.925 3.009 5.944
1.925 -3.009 5.944
1.925 3.009 -5.944
O La Co Ba
5 2 1 1
Direct
0.500 0.000 0.500 O
0.601 0.357 0.244 O
0.399 0.643 0.756 O
0.888 0.643 0.244 O
0.112 0.357 0.756 O
0.297 0.797 0.500 La
0.703 0.203 0.500 La
0.500 0.500 0.000 Co
0.000 0.000 0.000 Ba

=====

# 2
BaLaCo2O5 PBE with a Hubbard U relaxed; space-group type = P4/mmm; DFT total energy = -60.07 eV for the cell shown
1.0
-0.902 -1.896 3.342
2.154 -3.092 -1.173
6.266 3.064 3.430
O Co Ba La
5 2 1 1
Direct
0.000 0.000 0.500 O
0.500 0.000 0.802 O
0.000 0.500 0.198 O
0.000 0.500 0.802 O
0.500 0.000 0.198 O
0.000 0.000 0.246 Co
0.000 0.000 0.754 Co
0.500 0.500 0.500 Ba
0.500 0.500 0.000 La

=====

# 3
Ba2LaTaCo2O8 PBE with a Hubbard U relaxed; space-group type = P4/mmm; DFT total energy = -105.11 eV for the cell shown
1.0
4.018 0.000 0.000
0.000 4.018 0.000
0.000 0.000 11.844
Ba Co O Ta La
2 2 8 1 1
Direct
0.000 0.000 0.195 Ba
0.000 0.000 0.805 Ba
0.500 0.500 0.655 Co
0.500 0.500 0.345 Co
0.500 0.500 0.834 O
0.000 0.500 0.000 O
0.000 0.500 0.630 O
0.500 0.000 0.630 O
0.000 0.500 0.370 O
0.500 0.000 0.370 O
0.500 0.000 0.000 O
0.500 0.500 0.166 O
0.500 0.500 0.000 Ta
0.000 0.000 0.500 La